[1]
Compound: KZrRu
Source: the Alexandria database
Functional: PBE-GGA
Structure: optimized geometry

Cell lengths 4.606, 4.606, 4.606 Å; angles 60.00, 60.00, 60.00 degrees
Element x y z (fractional)
K: 0.750 0.750 0.750
Ru: 0.000 0.000 0.000
Zr: 0.500 0.500 0.500

Calculated values
Energy of formation ... 2078 meV per atom

[2]
Compound: TbHfSn
Source: the Alexandria database
Functional: PBE-GGA
Structure: optimized geometry

Cell lengths 4.364, 4.364, 8.206 Å; angles 90.00, 90.00, 90.00 degrees
Element x y z (fractional)
Tb: 0.000 0.500 0.838
Tb: 0.500 0.000 0.162
Hf: 0.500 0.500 0.500
Hf: 0.000 0.000 0.500
Sn: 0.000 0.500 0.235
Sn: 0.500 0.000 0.765

Calculated values
Energy of formation ... -528 meV per atom

no.,E_tot (eV/atom),ρ (g cm⁻³),E above lowest polymorph (eV/f.u.)
1,-4.229,5.6,6.27
2,-6.724,9.7,0.00